Material: CeSm2Y8
Method: DFT, PBE
State: relaxed

POSCAR file:
```
CeSm2Y8
1.0
6.474 -1.260 -0.880
-0.171 8.928 2.219
-0.171 5.156 7.619
Ce Sm Y
1 2 8
Cartesian
0.000 0.000 0.000
5.791 2.446 1.709
0.341 10.377 7.249
1.927 4.395 5.018
1.927 6.224 2.400
4.204 8.428 3.940
1.137 7.812 5.457
4.204 6.600 6.558
2.262 2.431 1.698
3.869 10.393 7.260
4.994 5.011 3.501
```

Summary:
Relative energy among the computed polymorphs in meV per atom: 150
SG: No. 12
M_tot in μB/atom: 0.14
ΔE_f in eV per atom: 0.1927